Below is a geometry-optimized ErAgAu structure, with properties calculated at the PBE-GGA level.

Output
The density of states at the Fermi level comes out at 1.1 states/eV per cell. The value obtained for the energy relative to the elements is -0.629 eV per atom. Its space-group type is I4mm (107).

a b c (Å): 5.254 5.254 5.254
angles (deg): 138.63 138.63 59.94
Sites, in units of the cell vectors:
Er 0.000 0.000 0.000
Ag 0.673 0.673 0.000
Au 0.340 0.340 0.000